Record 1
# Cu3Si5O12 (PBE-GGA, relaxed)
# formation energy (no corrections) = -1.9703 eV/atom
data_Cu3Si5O12
_chemical_formula_sum 'Cu24 Si40 O96'
_space_group_name_H-M_alt 'I a -3 d'
_space_group_IT_number 230
_space_group_name_Hall '-I 4bd 2c 3'
_cell_length_a 11.5454
_cell_length_b 11.5454
_cell_length_c 11.5454
_cell_angle_alpha 90.00
_cell_angle_beta 90.00
_cell_angle_gamma 90.00
loop_
_atom_site_label
_atom_site_fract_x
_atom_site_fract_y
_atom_site_fract_z
Cu1 0.0000 0.2500 0.1250
Si1 0.0000 0.0000 0.0000
Si2 0.0000 0.2500 0.3750
O1 0.0320 0.0382 0.6477



Record 2
# CuSiO3 (PBE-GGA, relaxed)
# formation energy (no corrections) = -1.3090 eV/atom
data_CuSiO3
_chemical_formula_sum 'Cu1 Si1 O3'
_space_group_name_H-M_alt 'P m -3 m'
_space_group_IT_number 221
_space_group_name_Hall '-P 4 2 3'
_cell_length_a 3.5021
_cell_length_b 3.5021
_cell_length_c 3.5021
_cell_angle_alpha 90.00
_cell_angle_beta 90.00
_cell_angle_gamma 90.00
loop_
_atom_site_label
_atom_site_fract_x
_atom_site_fract_y
_atom_site_fract_z
Cu1 0.0000 0.0000 0.0000
Si1 0.5000 0.5000 0.5000
O1 0.0000 0.5000 0.5000



Record 3
# CuSiO3 (PBE-GGA, relaxed)
# formation energy (no corrections) = -1.8201 eV/atom
data_CuSiO3
_chemical_formula_sum 'Cu2 Si2 O6'
_space_group_name_H-M_alt 'P m m a'
_space_group_IT_number 51
_space_group_name_Hall '-P 2a 2a'
_cell_length_a 9.0007
_cell_length_b 2.8606
_cell_length_c 4.9198
_cell_angle_alpha 90.00
_cell_angle_beta 90.00
_cell_angle_gamma 90.00
loop_
_atom_site_label
_atom_site_fract_x
_atom_site_fract_y
_atom_site_fract_z
Cu1 0.0000 0.0000 0.0000
Si1 0.2500 0.5000 0.3756
O1 0.0980 0.5000 0.1935
O2 0.2500 0.0000 0.5523



Record 4
# Cu5Si4O14 (PBE-GGA, relaxed)
# formation energy (no corrections) = -1.5871 eV/atom
data_Cu5Si4O14
_chemical_formula_sum 'Cu5 Si4 O14'
_space_group_name_H-M_alt 'P -1'
_space_group_IT_number 2
_space_group_name_Hall '-P 1'
_cell_length_a 5.7633
_cell_length_b 7.6518
_cell_length_c 7.6812
_cell_angle_alpha 65.98
_cell_angle_beta 88.13
_cell_angle_gamma 69.56
loop_
_atom_site_label
_atom_site_fract_x
_atom_site_fract_y
_atom_site_fract_z
Cu1 0.0000 0.0000 0.0000
Cu2 0.0844 0.6087 0.8139
Cu3 0.3185 0.5736 0.2822
Si1 0.1993 0.2131 0.5885
Si2 0.4865 0.7614 0.8550
O1 0.0029 0.2170 0.7546
O2 0.0916 0.1868 0.4123
O3 0.2156 0.3754 0.0572
O4 0.2902 0.4076 0.5324
O5 0.3160 0.7774 0.0298
O6 0.4031 0.6312 0.7551
O7 0.4383 0.9968 0.7088



Q: Look up the formation energy (no corrections) of the second one.
A: -1.3090 eV/atom